[1]
SrMg2Se2 after structural relaxation. Source: the Alexandria database, functional PBE-GGA.

abc: 7.959 7.959 3.978
angles: 90.00 90.00 90.00
Sites, in units of the cell vectors:
Sr  0.000  0.000  0.000
Sr  0.500  0.500  0.000
Mg  0.140  0.360  0.500
Mg  0.360  0.860  0.500
Mg  0.640  0.140  0.500
Mg  0.860  0.640  0.500
Se  0.156  0.656  0.000
Se  0.344  0.156  0.000
Se  0.656  0.844  0.000
Se  0.844  0.344  0.000

Properties
For the size of the total moment, the calculation gives 0.55 Bohr magnetons per cell. Its electronic total energy is -3.1703 eV per atom.

[2]
Tb3HgRu after structural relaxation. Source: the Alexandria database, functional PBE-GGA.

abc: 5.563 6.278 8.661
angles: 103.41 100.05 113.82
Sites, in units of the cell vectors:
Tb  0.055  0.193  0.275
Tb  0.282  0.420  0.726
Tb  0.303  0.803  0.107
Tb  0.697  0.197  0.893
Tb  0.718  0.580  0.274
Tb  0.945  0.807  0.725
Hg  0.347  0.756  0.499
Hg  0.653  0.244  0.501
Ru  0.248  0.249  0.997
Ru  0.752  0.751  0.003

Properties
For the size of the total moment, the calculation gives 0.00 Bohr magnetons per cell. Its electronic total energy is -5.0960 eV per atom. As for the formation energy from the elements: -2.01 eV/f.u.

[3]
Y2ZrNbAu after structural relaxation. Source: the Alexandria database, functional PBE-GGA.

abc: 5.401 5.401 5.004
angles: 90.00 90.00 90.00
Sites, in units of the cell vectors:
Y  0.000  0.500  0.000
Y  0.500  0.000  0.000
Zr  0.000  0.000  0.500
Nb  0.000  0.000  0.000
Au  0.500  0.500  0.500

Properties
For the size of the total moment, the calculation gives 0.00 Bohr magnetons per cell. Its electronic total energy is -6.3329 eV per atom. As for the formation energy from the elements: 3.16 eV/f.u.

[4]
Ba2ReRu after structural relaxation. Source: the Alexandria database, functional PBE-GGA.

abc: 6.938 6.938 6.938
angles: 146.86 134.99 57.02
Sites, in units of the cell vectors:
Ba  0.000  0.000  0.000
Ba  0.725  0.225  0.500
Re  0.310  0.810  0.500
Ru  0.413  0.413  0.000

Properties
For the size of the total moment, the calculation gives 0.00 Bohr magnetons per cell. Its electronic total energy is -5.8096 eV per atom. As for the formation energy from the elements: 2.33 eV/f.u.

[5]
PuCoSe2 after structural relaxation. Source: the Alexandria database, functional PBE-GGA.

abc: 8.573 8.573 8.573
angles: 23.78 23.78 23.78
Sites, in units of the cell vectors:
Pu  0.000  0.000  0.000
Co  0.500  0.500  0.500
Se  0.116  0.116  0.116
Se  0.884  0.884  0.884

Properties
For the size of the total moment, the calculation gives 6.40 Bohr magnetons per cell. Its electronic total energy is -7.3244 eV per atom.

[6]
ScCdP2S after structural relaxation. Source: the Alexandria database, functional PBE-GGA.

abc: 4.985 4.985 4.857
angles: 90.00 90.00 90.00
Sites, in units of the cell vectors:
Sc  0.000  0.000  0.000
Cd  0.500  0.500  0.500
P  0.000  0.500  0.000
P  0.500  0.000  0.000
S  0.000  0.000  0.500

Properties
For the size of the total moment, the calculation gives 0.00 Bohr magnetons per cell. Its electronic total energy is -4.2813 eV per atom.

[7]
Be2MoRu after structural relaxation. Source: the Alexandria database, functional PBE-GGA.

abc: 4.100 4.092 4.084
angles: 60.20 59.99 59.81
Sites, in units of the cell vectors:
Be  0.000  0.000  0.000
Be  0.250  0.250  0.250
Mo  0.750  0.750  0.750
Ru  0.500  0.500  0.500

Properties
For the size of the total moment, the calculation gives 0.00 Bohr magnetons per cell. Its electronic total energy is -6.9771 eV per atom. As for the formation energy from the elements: -0.35 eV/f.u.

[8]
Li2CdPb4 after structural relaxation. Source: the Alexandria database, functional PBE-GGA.

abc: 7.645 6.671 5.944
angles: 74.35 57.17 48.48
Sites, in units of the cell vectors:
Li  0.235  0.235  0.765
Li  0.765  0.765  0.235
Cd  0.500  0.500  0.500
Pb  0.170  0.830  0.170
Pb  0.250  0.250  0.250
Pb  0.750  0.750  0.750
Pb  0.830  0.170  0.830

Properties
For the size of the total moment, the calculation gives 0.00 Bohr magnetons per cell. Its electronic total energy is -2.8545 eV per atom. As for the formation energy from the elements: -0.41 eV/f.u.

[9]
LiCeZnCu after structural relaxation. Source: the Alexandria database, functional PBE-GGA.

abc: 4.804 4.804 4.804
angles: 60.00 60.00 60.00
Sites, in units of the cell vectors:
Li  0.000  0.000  0.000
Ce  0.500  0.500  0.500
Zn  0.250  0.250  0.250
Cu  0.750  0.750  0.750

Properties
For the size of the total moment, the calculation gives 0.84 Bohr magnetons per cell. Its electronic total energy is -3.3581 eV per atom. As for the formation energy from the elements: -0.21 eV/f.u.

[10]
LiAgPt2 after structural relaxation. Source: the Alexandria database, functional PBE-GGA.

abc: 4.912 4.912 4.753
angles: 100.20 100.20 33.12
Sites, in units of the cell vectors:
Li  0.000  0.000  0.000
Ag  0.500  0.500  0.500
Pt  0.253  0.253  0.757
Pt  0.747  0.747  0.243

Properties
For the size of the total moment, the calculation gives 0.00 Bohr magnetons per cell. Its electronic total energy is -4.5523 eV per atom. As for the formation energy from the elements: -1.36 eV/f.u.

[11]
Er2PuOs after structural relaxation. Source: the Alexandria database, functional PBE-GGA.

abc: 10.974 10.974 10.974
angles: 17.37 17.37 17.37
Sites, in units of the cell vectors:
Er  0.103  0.103  0.103
Er  0.897  0.897  0.897
Pu  0.000  0.000  0.000
Os  0.500  0.500  0.500

Properties
For the size of the total moment, the calculation gives 6.12 Bohr magnetons per cell. Its electronic total energy is -8.3576 eV per atom. As for the formation energy from the elements: 1.26 eV/f.u.

[12]
Dy6Tm8Sn after structural relaxation. Source: the Alexandria database, functional PBE-GGA.

abc: 9.067 9.067 6.682
angles: 90.00 90.00 120.00
Sites, in units of the cell vectors:
Dy  0.076  0.684  0.397
Dy  0.316  0.392  0.397
Dy  0.392  0.076  0.603
Dy  0.608  0.924  0.397
Dy  0.684  0.608  0.603
Dy  0.924  0.316  0.603
Tm  0.018  0.333  0.109
Tm  0.315  0.982  0.109
Tm  0.333  0.315  0.891
Tm  0.333  0.667  0.804
Tm  0.667  0.333  0.196
Tm  0.667  0.685  0.109
Tm  0.685  0.018  0.891
Tm  0.982  0.667  0.891
Sn  0.000  0.000  0.500

Properties
For the size of the total moment, the calculation gives 0.00 Bohr magnetons per cell. Its electronic total energy is -4.3192 eV per atom. As for the formation energy from the elements: 2.60 eV/f.u.